DFT (PBE) results for crystalline Al4RuRh at its relaxed geometry.

Output
The calculation puts the total DFT energy (no corrections) at -32.28 eV/cell. The calculated volume is 86 Å³ per cell. The value obtained for the formation enthalpy at 0 K is -2.6 kcal/mol of atoms.

Geometry as POSCAR:
```
Al4RuRh
1.0
0.0000 3.5096 3.5096
3.5096 0.0000 3.5096
3.5096 3.5096 0.0000
Al Rh Ru
4 1 1
direct
0.3750 0.3750 0.8750
0.3750 0.8750 0.3750
0.3750 0.3750 0.3750
0.8750 0.3750 0.3750
0.7500 0.7500 0.7500
0.0000 0.0000 0.0000
```